# PBE-GGA InSn3Au6, optimized geometry
# Formation energy from the elements in eV per atom: -0.083
# Distance to the lowest polymorph of the same formula in kJ/mol of formula units: 11
data_InSn3Au6
_chemical_formula_sum 'In2 Sn6 Au12'
_cell_length_a 6.337
_cell_length_b 9.151
_cell_length_c 9.850
_cell_angle_alpha 90.00
_cell_angle_beta 129.12
_cell_angle_gamma 90.00
_space_group_name_H-M_alt 'P 1 21/c 1'
_space_group_IT_number 14
loop_
_space_group_symop_operation_xyz
'x,y,z'
'-x,-y,-z'
'-x,y+1/2,-z+1/2'
'x,-y+1/2,z+1/2'
loop_
_atom_site_label
_atom_site_type_symbol
_atom_site_fract_x
_atom_site_fract_y
_atom_site_fract_z
In1 In 0.000 0.000 0.000
Sn1 Sn 0.207 0.095 0.759
Sn2 Sn 0.500 0.000 0.500
Au1 Au 0.076 0.190 0.436
Au2 Au 0.276 0.703 0.434
Au3 Au 0.496 0.147 0.241